No. 1
This record from Alexandria via LeMat-Bulk describes a relaxed structure of BeSb2Rh. The functional is GGA-PBEsol.

It has space group F-43m (No. 216), with a = 6.630 Å, b = 6.630 Å, c = 6.630 Å, α = 90.00°, β = 90.00° and γ = 90.00°. The distinct sites, in fractional coordinates, are Be at (0.000, 0.000, 0.000), Sb at (0.000, 0.000, 0.500), Sb at (0.250, 0.250, 0.250) and Rh at (0.250, 0.250, 0.750).

Its energy relative to the elements, uncorrected is 503 meV/atom. For the uncorrected energy, the calculation gives -4.810 eV per atom. The value obtained for the total moment is 0.00 μB/cell.

No. 2
This record from Alexandria via LeMat-Bulk describes a relaxed structure of Y3FeCl. The functional is GGA-PBEsol.

It has space group Pm-3m (No. 221), with a = 5.016 Å, b = 5.016 Å, c = 5.016 Å, α = 90.00°, β = 90.00° and γ = 90.00°. The distinct sites, in fractional coordinates, are Y at (0.000, 0.000, 0.500), Fe at (0.500, 0.500, 0.500) and Cl at (0.000, 0.000, 0.000).

Its energy relative to the elements, uncorrected is -39 meV/atom. For the uncorrected energy, the calculation gives -6.326 eV per atom. The value obtained for the total moment is 2.75 μB/cell.

No. 3
This record from Alexandria via LeMat-Bulk describes a relaxed structure of CaSbPt2. The functional is GGA-PBEsol.

It has space group Cmmm (No. 65), with a = 6.097 Å, b = 6.702 Å, c = 3.685 Å, α = 90.00°, β = 90.00° and γ = 90.00°. The distinct sites, in fractional coordinates, are Ca at (0.000, 0.000, 0.000), Sb at (0.000, 0.500, 0.000) and Pt at (0.250, 0.250, 0.500).

Its energy relative to the elements, uncorrected is -587 meV/atom. For the uncorrected energy, the calculation gives -5.741 eV per atom. The value obtained for the total moment is 0.00 μB/cell.

No. 4
This record from Alexandria via LeMat-Bulk describes a relaxed structure of Hf2Te. The functional is GGA-PBEsol.

It has space group C2/m (No. 12), with a = 15.025 Å, b = 3.678 Å, c = 10.001 Å, α = 90.00°, β = 90.40° and γ = 90.00°. The distinct sites, in fractional coordinates, are Hf at (0.087, 0.000, 0.422), Hf at (0.091, 0.500, 0.657), Hf at (0.220, 0.000, 0.127), Hf at (0.248, 0.500, 0.381), Te at (0.080, 0.500, 0.195) and Te at (0.132, 0.000, 0.871).

Its energy relative to the elements, uncorrected is -535 meV/atom. For the uncorrected energy, the calculation gives -8.713 eV per atom. The value obtained for the total moment is 0.00 μB/cell.

No. 5
This record from Alexandria via LeMat-Bulk describes a relaxed structure of CoSb2Rh. The functional is GGA-PBEsol.

It has space group Fm-3m (No. 225), with a = 6.415 Å, b = 6.415 Å, c = 6.415 Å, α = 90.00°, β = 90.00° and γ = 90.00°. The distinct sites, in fractional coordinates, are Co at (0.000, 0.000, 0.000), Sb at (0.250, 0.250, 0.250) and Rh at (0.000, 0.000, 0.500).

Its energy relative to the elements, uncorrected is 54 meV/atom. As for the energy above the most stable polymorph in this dataset: 70 meV/atom. For the uncorrected energy, the calculation gives -6.193 eV per atom. The value obtained for the total moment is 0.00 μB/cell.

No. 6
This record from Alexandria via LeMat-Bulk describes a relaxed structure of ZnIr2Os. The functional is GGA-PBEsol.

It has space group Pmmm (No. 47), with a = 2.732 Å, b = 3.764 Å, c = 5.380 Å, α = 90.00°, β = 90.00° and γ = 90.00°. The distinct sites, in fractional coordinates, are Zn at (0.000, 0.000, 0.000), Ir at (0.500, 0.500, 0.251) and Os at (0.000, 0.000, 0.500).

Its energy relative to the elements is 0.01 eV/atom. For the uncorrected energy, the calculation gives -8.347 eV per atom. The value obtained for the total moment is 0.00 μB/cell.

No. 7
This record from Alexandria via LeMat-Bulk describes a relaxed structure of ScMo2Br. The functional is GGA-PBEsol.

It has space group Imm2 (No. 44), with a = 3.281 Å, b = 5.067 Å, c = 8.609 Å, α = 90.00°, β = 90.00° and γ = 90.00°. The distinct sites, in fractional coordinates, are Sc at (0.000, 0.000, 0.000), Mo at (0.000, 0.000, 0.504), Mo at (0.000, 0.500, 0.214) and Br at (0.000, 0.500, 0.756).

Its energy relative to the elements, uncorrected is 387 meV/atom. As for the energy above the most stable polymorph in this dataset: 64 meV/atom. For the uncorrected energy, the calculation gives -7.616 eV per atom. The value obtained for the total moment is 0.00 μB/cell.

No. 8
This record from Alexandria via LeMat-Bulk describes a relaxed structure of CoNiOsN2. The functional is GGA-PBEsol.

It has space group P4/mmm (No. 123), with a = 3.703 Å, b = 3.703 Å, c = 4.883 Å, α = 90.00°, β = 90.00° and γ = 90.00°. The distinct sites, in fractional coordinates, are Co at (0.000, 0.000, 0.000), Ni at (0.500, 0.500, 0.000), Os at (0.000, 0.000, 0.500) and N at (0.000, 0.500, 0.500).

Its energy relative to the elements, uncorrected is 1248 meV/atom. For the uncorrected energy, the calculation gives -7.385 eV per atom. The value obtained for the total moment is 2.52 μB/cell.

No. 9
This record from Alexandria via LeMat-Bulk describes a relaxed structure of BaScTa2. The functional is GGA-PBEsol.

It has space group R-3m (No. 166, hexagonal axes), with a = 3.0804 Å, b = 3.0804 Å, c = 33.2313 Å, α = 90.00°, β = 90.00° and γ = 120.00°. The distinct sites, in fractional coordinates, are Ba at (0.0000, 0.0000, 0.0000), Sc at (0.0000, 0.0000, 0.5000) and Ta at (0.0000, 0.0000, 0.2403).

Its energy relative to the elements is 0.79 eV/atom. As for the energy above the most stable polymorph in this dataset: 0 meV/atom. For the uncorrected energy, the calculation gives -7.675 eV per atom. The value obtained for the total moment is 0.00 μB/cell.

No. 10
This record from Alexandria via LeMat-Bulk describes a relaxed structure of LaAlCu4. The functional is GGA-PBEsol.

It has space group Cmmm (No. 65), with a = 5.202 Å, b = 8.822 Å, c = 4.123 Å, α = 90.00°, β = 90.00° and γ = 90.00°. The distinct sites, in fractional coordinates, are La at (0.000, 0.000, 0.000), Al at (0.000, 0.500, 0.500), Cu at (0.000, 0.333, 0.000) and Cu at (0.250, 0.250, 0.500).

Its energy relative to the elements is -0.26 eV/atom. For the uncorrected energy, the calculation gives -4.726 eV per atom. The value obtained for the total moment is 0.00 μB/cell.

No. 11
This record from Alexandria via LeMat-Bulk describes a relaxed structure of OsRu. The functional is GGA-PBEsol.

It has space group I4_1/amd (No. 141, origin choice 2), with a = 3.801 Å, b = 3.801 Å, c = 7.560 Å, α = 90.00°, β = 90.00° and γ = 90.00°. The distinct sites, in fractional coordinates, are Os at (0.000, 0.250, 0.375) and Ru at (0.000, 0.250, 0.875).

Its energy relative to the elements is 0.11 eV/atom. For the uncorrected energy, the calculation gives -11.080 eV per atom. The value obtained for the total moment is 0.00 μB/cell.

No. 12
This record from Alexandria via LeMat-Bulk describes a relaxed structure of KPbS2Cl. The functional is GGA-PBEsol.

It has space group P4/mmm (No. 123), with a = 5.134 Å, b = 5.134 Å, c = 5.541 Å, α = 90.00°, β = 90.00° and γ = 90.00°. The distinct sites, in fractional coordinates, are K at (0.000, 0.000, 0.000), Pb at (0.500, 0.500, 0.500), S at (0.000, 0.500, 0.500) and Cl at (0.500, 0.500, 0.000).

Its energy relative to the elements, uncorrected is -532 meV/atom. For the uncorrected energy, the calculation gives -3.713 eV per atom. The value obtained for the total moment is 0.00 μB/cell.